Entry 1:
# PBE-GGA DyZn2Ge, optimized geometry
data_DyZn2Ge
_space_group_name_H-M_alt 'R -3 m'
_space_group_IT_number 166
_space_group_name_Hall '-R 3 2"'
_cell_length_a 3.1394
_cell_length_b 3.1394
_cell_length_c 30.5581
_cell_angle_alpha 90.00
_cell_angle_beta 90.00
_cell_angle_gamma 120.00
loop_
_atom_site_label
_atom_site_fract_x
_atom_site_fract_y
_atom_site_fract_z
Dy1 0.0000 0.0000 0.0000
Zn1 0.0000 0.0000 0.0965
Ge1 0.0000 0.0000 0.5000
# energy relative to the lowest polymorph listed for this composition: 752.9 meV/atom
# total magnetization: 0.000 μB per cell

Entry 2:
# PBE-GGA HgTeMo2, optimized geometry
data_HgTeMo2
_space_group_name_H-M_alt 'P 1 m 1'
_space_group_IT_number 6
_cell_length_a 3.2539
_cell_length_b 4.6781
_cell_length_c 5.4945
_cell_angle_alpha 90.00
_cell_angle_beta 102.71
_cell_angle_gamma 90.00
loop_
_space_group_symop_operation_xyz
'x,y,z'
'x,-y,z'
loop_
_atom_site_label
_atom_site_fract_x
_atom_site_fract_y
_atom_site_fract_z
Hg1 0.0000 0.0000 0.0000
Te1 0.5134 0.5000 0.7174
Mo1 0.5853 0.0000 0.4538
Mo2 0.8808 0.5000 0.3174
# energy relative to the lowest polymorph listed for this composition: 318.4 meV/atom
# total magnetization: 0.000 μB per cell

Entry 3:
# PBE-GGA La3Mg2Sc, optimized geometry
data_La3Mg2Sc
_space_group_name_H-M_alt 'C m m m'
_space_group_IT_number 65
_space_group_name_Hall '-C 2 2'
_cell_length_a 5.5468
_cell_length_b 16.6885
_cell_length_c 8.0767
_cell_angle_alpha 90.00
_cell_angle_beta 90.00
_cell_angle_gamma 90.00
loop_
_atom_site_label
_atom_site_fract_x
_atom_site_fract_y
_atom_site_fract_z
La1 0.0000 0.0000 0.2449
La2 0.0000 0.3360 0.2529
Mg1 0.0000 0.1665 0.5000
Mg2 0.0000 0.5000 0.0000
Mg3 0.0000 0.5000 0.5000
Sc1 0.0000 0.1786 0.0000
# E: -4.089 eV/atom
# total magnetization: 0.000 μB per cell

Entry 4:
# PBE-GGA PuUFeRe, optimized geometry
data_PuUFeRe
_space_group_name_H-M_alt 'F -4 3 m'
_space_group_IT_number 216
_space_group_name_Hall 'F -4 2 3'
_cell_length_a 6.4612
_cell_length_b 6.4612
_cell_length_c 6.4612
_cell_angle_alpha 90.00
_cell_angle_beta 90.00
_cell_angle_gamma 90.00
loop_
_atom_site_label
_atom_site_fract_x
_atom_site_fract_y
_atom_site_fract_z
Pu1 0.0000 0.0000 0.0000
U1 0.2500 0.2500 0.2500
Fe1 0.2500 0.2500 0.7500
Re1 0.0000 0.0000 0.5000
# E: -11.600 eV/atom
# total magnetization: 8.482 μB per cell

Entry 5:
# PBE-GGA CsTaRh2, optimized geometry
data_CsTaRh2
_space_group_name_H-M_alt 'I -4 2 d'
_space_group_IT_number 122
_space_group_name_Hall 'I -4 2bw'
_cell_length_a 7.4791
_cell_length_b 7.4791
_cell_length_c 7.6915
_cell_angle_alpha 90.00
_cell_angle_beta 90.00
_cell_angle_gamma 90.00
loop_
_atom_site_label
_atom_site_fract_x
_atom_site_fract_y
_atom_site_fract_z
Cs1 0.0000 0.0000 0.0000
Ta1 0.0000 0.0000 0.5000
Rh1 0.1681 0.2500 0.6250
# energy relative to the lowest polymorph listed for this composition: 0.0 meV/atom
# total magnetization: 0.000 μB per cell

Entry 6:
# PBE-GGA Dy2Y2Pt15, optimized geometry
data_Dy2Y2Pt15
_space_group_name_H-M_alt 'R -3 m'
_space_group_IT_number 166
_space_group_name_Hall '-R 3 2"'
_cell_length_a 9.3208
_cell_length_b 9.3208
_cell_length_c 13.8768
_cell_angle_alpha 90.00
_cell_angle_beta 90.00
_cell_angle_gamma 120.00
loop_
_atom_site_label
_atom_site_fract_x
_atom_site_fract_y
_atom_site_fract_z
Dy1 0.0000 0.0000 0.1070
Y1 0.0000 0.0000 0.3630
Pt1 0.0000 0.3147 0.0000
Pt2 0.0000 0.5000 0.5000
Pt3 0.0065 0.5033 0.1559
# E: -6.644 eV/atom
# total magnetization: 0.000 μB per cell

Entry 7:
# PBE-GGA HfAlAg, optimized geometry
data_HfAlAg
_space_group_name_H-M_alt 'P 63/m m c'
_space_group_IT_number 194
_space_group_name_Hall '-P 6c 2c'
_cell_length_a 4.8068
_cell_length_b 4.8068
_cell_length_c 5.6354
_cell_angle_alpha 90.00
_cell_angle_beta 90.00
_cell_angle_gamma 120.00
loop_
_atom_site_label
_atom_site_fract_x
_atom_site_fract_y
_atom_site_fract_z
Hf1 0.3333 0.6667 0.2500
Al1 0.3333 0.6667 0.7500
Ag1 0.0000 0.0000 0.0000
# E: -5.519 eV/atom
# total magnetization: 0.000 μB per cell

Entry 8:
# PBE-GGA Na8LiHg5, optimized geometry
data_Na8LiHg5
_space_group_name_H-M_alt 'I -4'
_space_group_IT_number 82
_cell_length_a 9.1668
_cell_length_b 9.1668
_cell_length_c 9.4889
_cell_angle_alpha 90.00
_cell_angle_beta 90.00
_cell_angle_gamma 90.00
loop_
_space_group_symop_operation_xyz
'x,y,z'
'y,-x,-z'
'-x,-y,z'
'-y,x,-z'
'x+1/2,y+1/2,z+1/2'
'y+1/2,-x+1/2,-z+1/2'
'-x+1/2,-y+1/2,z+1/2'
'-y+1/2,x+1/2,-z+1/2'
loop_
_atom_site_label
_atom_site_fract_x
_atom_site_fract_y
_atom_site_fract_z
Na1 0.0747 0.1738 0.3293
Na2 0.0845 0.3284 0.9781
Li1 0.0000 0.0000 0.0000
Hg1 0.0000 0.5000 0.2500
Hg2 0.1231 0.2734 0.6578
# E: -1.132 eV/atom
# total magnetization: 0.000 μB per cell